# NiP

A relaxed NiP crystal (GGA-PBE, the Alexandria database).

Cell: 6.8918 3.8984 3.9675 Å, 90.00 90.00 90.00°
Element x y z (fractional)
Ni 0.5000 0.5000 0.5000
Ni 0.0000 0.5000 0.0000
Ni 0.5000 0.0000 0.0000
Ni 0.0000 0.0000 0.5000
P 0.2500 0.2500 0.2500
P 0.7500 0.2500 0.7500
P 0.2500 0.7500 0.7500
P 0.7500 0.7500 0.2500

Values from the calculation:
Space group: F222, No. 22
DOS at the Fermi energy, states/eV/atom: 0.34
Crystal system: orthorhombic
Formation energy from the elements, eV/atom: -0.253